w:
First-principles (PBE) data for a relaxed KTeI2N crystal, as listed in the Alexandria database.

Its spin magnetization is 0.000 μB per cell. The volume comes out at 168 Å³/f.u.

It has space group P4/mmm (No. 123), with a = 6.429 Å, b = 6.429 Å, c = 4.076 Å, α = 90.00°, β = 90.00° and γ = 90.00°. The asymmetric unit holds K at (0.000, 0.000, 0.000), Te at (0.500, 0.500, 0.500), I at (0.000, 0.500, 0.500) and N at (0.500, 0.500, 0.000).

---

x:
First-principles (PBE) data for a relaxed KTeI2N crystal, as listed in the Alexandria database.

Its spin magnetization is 6.038 μB per cell. The volume comes out at 319 Å³/f.u.

It has space group P4/mmm (No. 123), with a = 6.729 Å, b = 6.729 Å, c = 7.038 Å, α = 90.00°, β = 90.00° and γ = 90.00°. The asymmetric unit holds K at (0.000, 0.000, 0.000), Te at (0.000, 0.000, 0.500), I at (0.000, 0.500, 0.000) and N at (0.500, 0.500, 0.500).

---

y:
First-principles (PBE) data for a relaxed KTeI2N crystal, as listed in the Alexandria database.

Its spin magnetization is 0.000 μB per cell. The volume comes out at 137 Å³/f.u.

It has space group P4/mmm (No. 123), with a = 5.270 Å, b = 5.270 Å, c = 4.939 Å, α = 90.00°, β = 90.00° and γ = 90.00°. The asymmetric unit holds K at (0.000, 0.000, 0.000), Te at (0.500, 0.500, 0.000), I at (0.000, 0.500, 0.500) and N at (0.500, 0.500, 0.500).

---

w is favored, and the nearest alternative lies 336 meV/atom above it.

---

w:
First-principles (PBE) data for a relaxed KYIN2 crystal, as listed in the Alexandria database.

Its spin magnetization is 3.061 μB per cell. The volume comes out at 133 Å³/f.u.

It has space group P4/mmm (No. 123), with a = 4.762 Å, b = 4.762 Å, c = 5.844 Å, α = 90.00°, β = 90.00° and γ = 90.00°. The asymmetric unit holds K at (0.000, 0.000, 0.000), Y at (0.500, 0.500, 0.500), I at (0.000, 0.000, 0.500) and N at (0.000, 0.500, 0.000).

---

x:
First-principles (PBE) data for a relaxed KYIN2 crystal, as listed in the Alexandria database.

Its spin magnetization is 3.002 μB per cell. The volume comes out at 139 Å³/f.u.

It has space group P4/mmm (No. 123), with a = 4.696 Å, b = 4.696 Å, c = 6.305 Å, α = 90.00°, β = 90.00° and γ = 90.00°. The asymmetric unit holds K at (0.000, 0.000, 0.000), Y at (0.500, 0.500, 0.500), I at (0.500, 0.500, 0.000) and N at (0.000, 0.500, 0.500).

---

x is favored, and the nearest alternative lies 1381 meV/atom above it.